Entry 1:
PBE-GGA LiNdAlGa, relaxed; formation energy from the elements = -289 meV per atom; energy = -0.26838 Ry/atom; DOS(E_F) = 0.548 states/eV/atom; crystal system = cubic
1.0
0.000 3.429 3.429
3.429 0.000 3.429
3.429 3.429 0.000
Li Nd Al Ga
1 1 1 1
Cartesian
0.000 0.000 0.000
1.714 1.714 1.714
5.143 5.143 5.143
3.429 3.429 3.429

***

Entry 2:
PBE-GGA LiNd2AlGa6, relaxed; formation energy from the elements = -314 meV per atom; energy = -0.26821 Ry/atom; DOS(E_F) = 0.387 states/eV/atom; crystal system = trigonal
1.0
3.192 1.843 11.779
-3.192 1.843 11.779
0.000 -3.686 11.779
Li Nd Al Ga
2 4 2 12
Cartesian
0.000 0.000 2.469
0.000 0.000 32.870
0.000 0.000 7.249
0.000 0.000 13.639
0.000 0.000 21.699
0.000 0.000 28.089
0.000 0.000 0.000
0.000 0.000 17.669
0.000 -1.466 10.338
-1.270 0.733 10.338
-1.809 -1.044 19.190
0.000 -2.089 16.148
-1.809 1.044 16.148
-1.270 -0.733 25.000
1.270 0.733 10.338
1.809 -1.044 19.190
0.000 2.089 19.190
1.809 1.044 16.148
1.270 -0.733 25.000
0.000 1.466 25.000

***

Entry 3:
PBE-GGA LiAlGa4Ni2, relaxed; formation energy from the elements = -63 meV per atom; energy = -0.27407 Ry/atom; DOS(E_F) = 0.547 states/eV/atom; crystal system = tetragonal
1.0
3.610 0.000 0.000
0.000 3.610 0.000
0.000 0.000 10.093
Li Al Ga Ni
1 1 4 2
Cartesian
0.000 0.000 0.000
0.000 0.000 5.047
0.000 1.805 2.159
0.000 1.805 7.934
1.805 0.000 2.159
1.805 0.000 7.934
1.805 1.805 3.884
1.805 1.805 6.210

***

Entry 4:
PBE-GGA LiNpAl2Ga4, relaxed; formation energy from the elements = -123 meV per atom; energy = -0.32548 Ry/atom; DOS(E_F) = 1.271 states/eV/atom; crystal system = trigonal
1.0
2.302 1.329 7.754
-2.302 1.329 7.754
0.000 -2.658 7.754
Li Np Al Ga
1 1 2 4
Cartesian
0.000 0.000 0.000
0.000 0.000 11.630
0.000 0.000 5.809
0.000 0.000 17.452
0.000 0.000 2.660
0.000 0.000 8.575
0.000 0.000 14.686
0.000 0.000 20.600

***

Entry 5:
PBE-GGA Li3AlGa3O8, relaxed; energy = -0.43038 Ry/atom; DOS(E_F) = 0.606 states/eV/atom; crystal system = trigonal; formation energy (no corrections) = -1974 meV/atom
1.0
2.940 1.697 4.852
-2.940 1.697 4.852
0.000 -3.395 4.852
Li Al Ga O
3 1 3 8
Cartesian
-1.470 -0.849 4.852
-1.470 0.849 9.703
0.000 1.697 4.852
0.000 0.000 7.277
-2.940 0.000 7.277
-1.470 0.849 2.426
1.470 0.849 2.426
0.000 0.000 3.526
-1.404 -0.811 8.305
0.000 -1.621 6.250
-1.404 0.811 6.250
1.404 -0.811 8.305
0.000 1.621 8.305
1.404 0.811 6.250
0.000 0.000 11.029

***

Entry 6:
PBE-GGA LiAlGaPb, relaxed; formation energy from the elements = 9 meV per atom; energy = -0.22703 Ry/atom; DOS(E_F) = 0.545 states/eV/atom; crystal system = cubic
1.0
0.000 3.488 3.488
3.488 0.000 3.488
3.488 3.488 0.000
Li Al Ga Pb
1 1 1 1
Cartesian
0.000 0.000 0.000
3.488 3.488 3.488
1.744 1.744 1.744
5.231 5.231 5.231

***

Entry 7:
PBE-GGA LiAlGaPb2, relaxed; formation energy from the elements = 397 meV per atom; energy = -0.20750 Ry/atom; DOS(E_F) = 0.589 states/eV/atom; crystal system = tetragonal
1.0
5.511 0.000 0.000
0.000 5.511 0.000
0.000 0.000 4.848
Li Al Ga Pb
1 1 1 2
Cartesian
0.000 0.000 0.000
2.755 2.755 0.000
0.000 0.000 2.424
0.000 2.755 2.424
2.755 0.000 2.424

***

Entry 8:
PBE-GGA LiPm4Al2Ga, relaxed; formation energy from the elements = -338 meV per atom; energy = -0.31358 Ry/atom; DOS(E_F) = 0.947 states/eV/atom; crystal system = trigonal
1.0
2.624 1.515 8.581
-2.624 1.515 8.581
0.000 -3.030 8.581
Li Pm Al Ga
1 4 2 1
Cartesian
0.000 0.000 0.000
0.000 0.000 3.281
0.000 0.000 9.740
0.000 0.000 16.002
0.000 0.000 22.461
0.000 0.000 6.559
0.000 0.000 19.183
0.000 0.000 12.871

***

no.,ρ (Mg/m³)
1,5.106
2,5.916
3,5.431
4,6.729
5,4.401
6,6.084
7,5.843
8,5.767